A relaxed CaTiBF2 crystal, computed with GGA-PBEsol.

Cell lengths 3.9912, 3.9912, 8.8005 Å; angles 90.00, 90.00, 90.00 degrees
Fractional coordinates of all 5 atoms:
Ca: 0.0000 0.0000 0.0000
Ti: 0.0000 0.0000 0.5000
B: 0.5000 0.5000 0.5000
F: 0.0000 0.5000 0.0000
F: 0.5000 0.0000 0.0000

Total DFT energy (no corrections), eV per atom: -5.016
Uncorrected formation energy, eV/atom: -0.75